# 1
Material: KZnP2O6
Method: DFT, PBE
State: optimized geometry

a = 5.3822 Å, b = 5.3822 Å, c = 6.8600 Å
α = 66.90°, β = 66.90°, γ = 60.00°
Element x y z (fractional)
O (0.7048, 0.0724, 0.7016)
O (0.5213, 0.7048, 0.7016)
O (0.0724, 0.5213, 0.7016)
O (0.9276, 0.4787, 0.2984)
O (0.2952, 0.9276, 0.2984)
O (0.4787, 0.2952, 0.2984)
Zn (0.5000, 0.5000, 0.5000)
P (0.7560, 0.7560, 0.7319)
P (0.2440, 0.2440, 0.2681)
K (0.0000, 0.0000, 0.0000)

Output
As for the symmetry: R-3. As for the formation energy (no corrections): -1.75 eV per atom.

=====

# 2
Material: NdTmP
Method: DFT, PBE
State: optimized geometry

a = 3.9415 Å, b = 3.9415 Å, c = 6.4964 Å
α = 90.00°, β = 90.00°, γ = 120.00°
Element x y z (fractional)
P (0.6667, 0.3333, 0.3442)
Nd (0.0000, 0.0000, 0.0807)
Tm (0.3333, 0.6667, 0.5751)

Output
The energy of formation from the pure elements comes out at -0.921 eV per atom. As for the symmetry: P3m1.

=====

# 3
Material: ZrAl2In
Method: DFT, PBE
State: optimized geometry

a = 4.8309 Å, b = 3.0031 Å, c = 5.5349 Å
α = 90.00°, β = 90.00°, γ = 90.00°
Element x y z (fractional)
Al (0.5000, 0.2492, 0.2383)
Al (0.0000, 0.2498, 0.9942)
In (0.0000, 0.2509, 0.5038)
Zr (0.5000, 0.7501, 0.7637)

Output
The energy of formation from the pure elements comes out at -0.189 eV per atom. As for the symmetry: Pmm2.

=====

# 4
Material: BaAsSe2N
Method: DFT, PBE
State: optimized geometry

a = 6.1062 Å, b = 6.1062 Å, c = 5.0590 Å
α = 90.00°, β = 90.00°, γ = 90.00°
Element x y z (fractional)
As (0.5000, 0.5000, 0.5000)
Se (0.0000, 0.5000, 0.0000)
Se (0.5000, 0.0000, 0.0000)
Ba (0.0000, 0.0000, 0.0000)
N (0.0000, 0.0000, 0.5000)

Output
As for the symmetry: P4/mmm. As for the formation energy (no corrections): 1.24 eV per atom. The value obtained for the excess energy over the best structure of this formula in the dataset is 686 kJ/mol of formula units.

=====

Which uncorrected energy belongs to each record? In order, -60.4, -17.4, -19.5, -15.7 eV per cell.
Which DOS(E_F) belongs to each record? In order, 1.484, 3.920, 2.934, 7.386 states/eV/cell.
Which V belongs to each record? In order, 153.4, 87.4, 80.3, 188.6 Å³/f.u..